1.
## Ba3BeAl (PBE)

Data for crystalline Ba3BeAl at its relaxed geometry.

Geometry as POSCAR:
```
Ba3BeAl
1.0
6.1023 0.0000 0.0000
0.0000 6.1023 0.0000
0.0000 0.0000 6.1023
Ba Be Al
3 1 1
Cartesian
0.0000 0.0000 3.0511 Ba
0.0000 3.0511 0.0000 Ba
3.0511 0.0000 0.0000 Ba
0.0000 0.0000 0.0000 Be
3.0511 3.0511 3.0511 Al
```

**Relative energy among the computed polymorphs**: 0 meV per atom
**Space group**: Pm-3m
**Formation energy**: 48 kJ per mole of atoms



2.
## BaBeAl2 (PBE)

Data for crystalline BaBeAl2 at its relaxed geometry.

Geometry as POSCAR:
```
BaBeAl2
1.0
-1.5318 2.9106 5.1342
1.5318 -2.9106 5.1342
1.5318 2.9106 -5.1342
Ba Be Al
1 1 2
Cartesian
0.0000 0.0000 0.0000 Ba
0.0000 0.0000 5.1342 Be
1.5318 0.0000 3.1403 Al
0.0000 2.9106 1.9940 Al
```

**Space group**: Immm
**Formation energy**: 38 kJ per mole of atoms



3.
## BaBeAl2 (PBE)

Data for crystalline BaBeAl2 at its relaxed geometry.

Geometry as POSCAR:
```
BaBeAl2
1.0
4.0376 0.0000 0.0000
0.0000 4.1022 0.0000
-2.0029 0.0000 6.1129
Ba Be Al
1 1 2
Cartesian
0.0000 0.0000 0.0000 Ba
2.0185 2.0511 1.8625 Be
0.0004 2.0511 3.2284 Al
2.0141 0.0000 2.7963 Al
```

**Space group**: Pm
**Formation energy**: 12 kJ per mole of atoms